Compound: Ho4CdNi2
Source: the Alexandria database
Functional: PBE
Structure: optimized geometry

Lattice parameters (Å, degrees): 4.6529 4.6529 27.6223 90.00 90.00 120.00
Space group R-3m (No. 166, hexagonal axes)
Asymmetric unit:
Ho (0.0000, 0.0000, 0.1096) x6
Ho (0.0000, 0.0000, 0.2984) x6
Cd (0.0000, 0.0000, 0.5000) x3
Ni (0.0000, 0.0000, 0.4014) x6

## Properties
As for the total DFT energy (no corrections): -4.5829 eV per atom. The value obtained for the formation energy is -0.1845 eV per atom. As for the density: 8.6 g cm⁻³. The density of states at the Fermi level comes out at 21.18 states/eV per cell.